Record 1
Density functional theory data (PBE-GGA) for a geometry-optimized Mo4PC3 structure.

Values from the calculation:
raw total energy = -0.3501 Ha/atom
crystal system = hexagonal
ρ = 8.13 g/cm3
volume = 11.51 Å³/atom

Cell lengths 3.1021, 3.1021, 22.0884 Å; angles 90.00, 90.00, 120.00 degrees
Last column: nearest neighbours and their distance in Å.
Fractional positions:
Mo 0.0000 0.0000 0.1704  3 C 2.17
Mo 0.0000 0.0000 0.3296  3 C 2.17
Mo 0.0000 0.0000 0.6704  3 C 2.17
Mo 0.0000 0.0000 0.8296  3 C 2.17
Mo 0.3333 0.6667 0.0544  6 C 2.16-2.24
Mo 0.3333 0.6667 0.4456  6 C 2.16-2.24
Mo 0.6667 0.3333 0.5544  6 C 2.16-2.24
Mo 0.6667 0.3333 0.9456  6 C 2.16-2.24
P 0.3333 0.6667 0.2500  6 Mo 2.51
P 0.6667 0.3333 0.7500  6 Mo 2.51
C 0.0000 0.0000 0.0000  6 Mo 2.16
C 0.0000 0.0000 0.5000  6 Mo 2.16
C 0.3333 0.6667 0.6152  6 Mo 2.17-2.24
C 0.3333 0.6667 0.8848  6 Mo 2.17-2.24
C 0.6667 0.3333 0.1152  6 Mo 2.17-2.24
C 0.6667 0.3333 0.3848  6 Mo 2.17-2.24


Record 2
Density functional theory data (PBE-GGA) for a geometry-optimized RbAg2AsS3 structure.

Values from the calculation:
raw total energy = -0.1395 Ha/atom
crystal system = triclinic
ρ = 4.39 g/cm3
volume = 25.50 Å³/atom

Cell lengths 6.7555, 9.6308, 10.9890 Å; angles 90.75, 92.58, 90.68 degrees
Last column: nearest neighbours and their distance in Å.
Fractional positions:
Rb 0.2058 0.4291 0.1221  5 S 3.28-3.47
Rb 0.2935 0.5677 0.6343  7 S 3.30-3.59
Rb 0.7065 0.4323 0.3657  7 S 3.30-3.59
Rb 0.7942 0.5709 0.8779  5 S 3.28-3.47
Ag 0.0101 0.0917 0.3439  3 S 2.53-2.59
Ag 0.0849 0.8539 0.0481  4 S 2.57-2.79
Ag 0.4251 0.1440 0.5507  4 S 2.57-2.72
Ag 0.4896 0.2460 0.8514  3 S 2.56-2.58
Ag 0.5104 0.7540 0.1486  3 S 2.56-2.58
Ag 0.5749 0.8560 0.4493  4 S 2.57-2.72
Ag 0.9151 0.1461 0.9519  4 S 2.57-2.79
Ag 0.9899 0.9083 0.6561  3 S 2.53-2.59
As 0.0390 0.7977 0.3398  3 S 2.28-2.31
As 0.4774 0.9400 0.8530  3 S 2.29-2.33
As 0.5226 0.0600 0.1470  3 S 2.29-2.33
As 0.9610 0.2023 0.6602  3 S 2.28-2.31
S 0.1142 0.2848 0.4942  1 As 2.28, 1 Ag 2.54
S 0.1240 0.3125 0.8242  1 As 2.31, 1 Ag 2.56
S 0.1843 0.0905 0.1450  1 As 2.31, 2 Ag 2.53-2.57
S 0.3322 0.6787 0.3395  1 As 2.30, 1 Ag 2.57
S 0.3593 0.7318 0.9291  1 As 2.33, 2 Ag 2.58-2.60
S 0.3725 0.9094 0.6534  1 As 2.29
S 0.6275 0.0906 0.3466  1 As 2.29
S 0.6407 0.2682 0.0709  1 As 2.33, 2 Ag 2.58-2.60
S 0.6678 0.3213 0.6605  1 As 2.30, 1 Ag 2.57
S 0.8157 0.9095 0.8550  1 As 2.31, 2 Ag 2.53-2.57
S 0.8760 0.6875 0.1758  1 As 2.31, 1 Ag 2.56
S 0.8858 0.7152 0.5058  1 As 2.28, 1 Ag 2.54


Record 3
Density functional theory data (PBE-GGA) for a geometry-optimized BiW2N structure.

Values from the calculation:
raw total energy = -0.3353 Ha/atom
crystal system = monoclinic
ρ = 14.24 g/cm3
volume = 17.22 Å³/atom

Cell lengths 5.7673, 5.7673, 14.0976 Å; angles 101.27, 101.27, 64.95 degrees
Last column: nearest neighbours and their distance in Å.
Fractional positions:
Bi 0.0713 0.9287 0.7500  4 W 2.96-3.00, 2 Bi 3.25
Bi 0.2737 0.4101 0.2851  4 W 2.95-2.99, 1 N 3.24, 1 Bi 3.25
Bi 0.4101 0.2737 0.7851  4 W 2.95-2.99, 1 N 3.24, 1 Bi 3.25
Bi 0.5899 0.7263 0.2149  4 W 2.95-2.99, 1 N 3.24, 1 Bi 3.25
Bi 0.7263 0.5899 0.7149  4 W 2.95-2.99, 1 N 3.24, 1 Bi 3.25
Bi 0.9287 0.0713 0.2500  4 W 2.96-3.00, 2 Bi 3.25
W 0.0748 0.3082 0.9288  2 N 2.08-2.11
W 0.1358 0.3593 0.5851  1 N 2.05
W 0.2774 0.7197 0.9391  2 N 1.93-2.11
W 0.2803 0.7226 0.5609  2 N 1.93-2.11
W 0.3082 0.0748 0.4288  2 N 2.08-2.11
W 0.3593 0.1358 0.0851  1 N 2.05
W 0.6407 0.8642 0.9149  1 N 2.05
W 0.6918 0.9252 0.5712  2 N 2.08-2.11
W 0.7197 0.2774 0.4391  2 N 1.93-2.11
W 0.7226 0.2803 0.0609  2 N 1.93-2.11
W 0.8642 0.6407 0.4149  1 N 2.05
W 0.9252 0.6918 0.0712  2 N 2.08-2.11
N 0.0000 0.0000 0.0000  2 W 1.93
N 0.0000 0.0000 0.5000  2 W 1.93
N 0.2964 0.4706 0.0346  5 W 2.05-2.21
N 0.4706 0.2964 0.5346  5 W 2.05-2.21
N 0.5294 0.7036 0.4654  5 W 2.05-2.21
N 0.7036 0.5294 0.9654  5 W 2.05-2.21


Record 4
Density functional theory data (PBE-GGA) for a geometry-optimized KReAgTe2S structure.

Values from the calculation:
raw total energy = -0.1646 Ha/atom
crystal system = orthorhombic
ρ = 6.43 g/cm3
volume = 26.71 Å³/atom

Cell lengths 8.0610, 8.0610, 10.1589 Å; angles 90.00, 90.00, 150.95 degrees
Last column: nearest neighbours and their distance in Å.
Fractional positions:
K 0.2458 0.7542 0.7500  6 Te 3.41-3.65, 2 S 3.68, 2 Ag 3.82
K 0.7542 0.2458 0.2500  6 Te 3.41-3.65, 2 S 3.68, 2 Ag 3.82
Re 0.0000 0.0000 0.0000  2 S 2.69, 4 Te 2.79
Re 0.0000 0.0000 0.5000  2 S 2.69, 4 Te 2.79
Ag 0.4617 0.5383 0.2500  2 S 2.51, 2 Te 2.70
Ag 0.5383 0.4617 0.7500  2 S 2.51, 2 Te 2.70
Te 0.3775 0.6225 0.0183  1 Ag 2.70, 2 Re 2.79
Te 0.3775 0.6225 0.4817  1 Ag 2.70, 2 Re 2.79
Te 0.6225 0.3775 0.5183  1 Ag 2.70, 2 Re 2.79
Te 0.6225 0.3775 0.9817  1 Ag 2.70, 2 Re 2.79
S 0.0568 0.9432 0.2500  2 Ag 2.51, 2 Re 2.69
S 0.9432 0.0568 0.7500  2 Ag 2.51, 2 Re 2.69